Density functional theory data (PBE) for an optimized crystal structure of FeAsC.

a = 2.6290 Å, b = 5.0296 Å, c = 12.5780 Å
α = 90.00°, β = 90.00°, γ = 90.00°
Space group Imm2 (No. 44)
Symmetry-distinct sites (fractional):
Fe  0.0000  0.2438  0.0000 (multiplicity 4)
As  0.0000  0.0000  0.1658 (multiplicity 2)
As  0.0000  0.5000  0.2739 (multiplicity 2)
C  0.0000  0.0000  0.4978 (multiplicity 2)
C  0.0000  0.5000  0.4274 (multiplicity 2)

Properties
Energy relative to the elements, eV/atom: 0.4529
Magnetization, Bohr magnetons per cell: 0.00
Relative energy among the computed polymorphs, meV per atom: 15